Below is crystalline CaMnNF2 at its relaxed geometry, with properties calculated at the PBE with a Hubbard U level.

abc: 4.067 4.067 3.988
angles: 90.00 90.00 90.00
Element x y z (fractional)
Ca1 0.000 0.000 0.000
Mn1 0.500 0.500 0.500
N1 0.500 0.500 0.000
F1 0.000 0.500 0.500
F2 0.500 0.000 0.500

Symmetry   P4/mmm (123)
Energy   -6.03 eV per atom
Distance to the lowest polymorph of the same formula   0.0000 eV/atom
Mass density   3700 kg/m³